The following is a DFT calculation (GGA-PBE) of a relaxed KMn3Te crystal.

Calculated values
Its density of states at the Fermi level is 3.72 states/eV/cell. The uncorrected energy is -4.40 eV/atom. The total moment is 12.06 μB per cell. The value obtained for the formation energy (no corrections) is 941 kJ/mol of formula units. Its crystal system is cubic.

a b c (Å): 5.031 5.031 5.031
angles (deg): 90.00 90.00 90.00
Space group Pm-3m (No. 221)
Unique sites:
K: 0.000 0.000 0.000 (multiplicity 1)
Mn: 0.000 0.000 0.500 (multiplicity 3)
Te: 0.500 0.500 0.500 (multiplicity 1)